Computed, not measured: KAlCd2H after structural relaxation at the PBE-GGA level of DFT.

Output
Calculated volume ... 24.1 Å³/atom
Symmetry ... No. 123
Electronic total energy ... -1.704 eV per atom

a b c (Å): 5.8327 5.8327 3.5493
angles (deg): 90.00 90.00 90.00
Fractional coordinates of all 5 atoms:
K: 0.0000 0.0000 0.0000
Al: 0.5000 0.5000 0.0000
Cd: 0.0000 0.5000 0.5000
Cd: 0.5000 0.0000 0.5000
H: 0.5000 0.5000 0.5000